Entry 1:
# NaVPCO7

A geometry-optimized NaVPCO7 structure (PBE+U, Alexandria via LeMat-Bulk).

Calculated values
Its distance to the lowest polymorph of the same formula is 0 meV per atom. As for the space-group type: P2_1/m, No. 11.

a b c (Å): 5.315 6.413 8.997
angles (deg): 90.00 91.16 90.00
Each line ends with the local moment (μB).
Element x y z (fractional)
O 0.423 0.250 0.938  -0.03
O 0.990 0.750 0.299  -0.03
O 0.717 0.560 0.830  -0.01
C 0.138 0.750 0.419  0.00
P 0.764 0.750 0.932  0.01
O 0.283 0.440 0.170  -0.01
Na 0.363 0.250 0.402  0.00
C 0.862 0.250 0.581  0.00
O 0.932 0.250 0.450  0.00
O 0.010 0.250 0.701  -0.03
O 0.717 0.940 0.830  -0.01
Na 0.637 0.750 0.598  0.00
V 0.271 0.750 0.160  1.05
O 0.967 0.250 0.002  0.00
V 0.729 0.250 0.840  1.05
O 0.283 0.060 0.170  -0.01
P 0.236 0.250 0.068  0.01
O 0.068 0.750 0.550  0.00
O 0.620 0.250 0.620  -0.01
O 0.577 0.750 0.062  -0.03
O 0.380 0.750 0.380  -0.01
O 0.033 0.750 0.998  0.00



Entry 2:
# Na3VPCO7

A geometry-optimized Na3VPCO7 structure (PBE+U, Alexandria via LeMat-Bulk).

Calculated values
Its distance to the lowest polymorph of the same formula is 0 meV per atom. The value obtained for the density of states at the Fermi level is 0.000 states/eV/cell. As for the space-group type: P2_1/m, No. 11.

a b c (Å): 8.990 5.270 6.825
angles (deg): 90.00 90.00 88.29
Each line ends with the local moment (μB).
Element x y z (fractional)
Na 0.917 0.228 0.750  0.00
Na 0.084 0.772 0.250  0.00
O 0.559 0.579 0.750  0.00
C 0.942 0.286 0.250  0.01
O 0.916 0.687 0.750  0.00
O 0.084 0.313 0.250  0.00
O 0.565 0.846 0.250  0.00
O 0.683 0.208 0.932  0.00
Na 0.727 0.744 0.991  0.00
O 0.435 0.154 0.750  0.00
O 0.317 0.792 0.432  0.00
C 0.058 0.714 0.750  0.01
Na 0.273 0.256 0.490  0.00
V 0.345 0.779 0.750  2.73
Na 0.727 0.744 0.510  0.00
O 0.317 0.792 0.068  0.00
P 0.413 0.715 0.250  0.01
O 0.441 0.421 0.250  0.00
O 0.150 0.516 0.750  -0.01
P 0.587 0.285 0.750  0.01
O 0.850 0.484 0.250  -0.01
O 0.884 0.062 0.250  -0.01
V 0.655 0.221 0.250  2.73
Na 0.273 0.256 0.009  0.00
O 0.683 0.208 0.568  0.00
O 0.116 0.938 0.750  -0.01



Entry 3:
# Na3VPCO7

A geometry-optimized Na3VPCO7 structure (PBE+U, Alexandria via LeMat-Bulk).

Calculated values
Its distance to the lowest polymorph of the same formula is 25 meV per atom. The value obtained for the density of states at the Fermi level is 0.000 states/eV/cell. As for the space-group type: P2_1, No. 4.

a b c (Å): 5.384 6.771 8.918
angles (deg): 90.00 91.64 90.00
Each line ends with the local moment (μB).
Element x y z (fractional)
O 0.818 0.263 0.929  -0.01
V 0.552 0.263 0.720  2.73
O 0.800 0.263 0.358  0.00
O 0.232 0.264 0.887  -0.01
O 0.390 0.263 0.498  0.00
O 0.610 0.763 0.502  0.00
P 0.486 0.763 0.657  0.01
Na 0.056 0.264 0.162  0.00
O 0.419 0.446 0.250  0.00
Na 0.999 0.514 0.500  0.00
V 0.448 0.763 0.280  2.73
O 0.200 0.763 0.642  0.00
O 0.182 0.763 0.071  -0.01
O 0.049 0.763 0.306  -0.01
Na 0.500 0.014 0.000  0.00
O 0.768 0.764 0.113  -0.01
O 0.418 0.080 0.250  0.00
Na 0.001 0.014 0.500  0.00
Na 0.944 0.764 0.838  0.00
Na 0.500 0.514 0.000  0.00
O 0.582 0.580 0.750  0.00
C 0.003 0.263 0.836  0.01
C 0.997 0.763 0.164  0.01
P 0.514 0.263 0.343  0.01
O 0.581 0.946 0.750  0.00
O 0.951 0.263 0.694  -0.01



Entry 4:
# Na4V2PC4O16

A geometry-optimized Na4V2PC4O16 structure (PBE+U, Alexandria via LeMat-Bulk).

Calculated values
The value obtained for the density of states at the Fermi level is 16.414 states/eV/cell. As for the space-group type: Fddd, No. 70.

a b c (Å): 9.803 9.803 10.074
angles (deg): 119.17 119.17 89.91
Each line ends with the local moment (μB).
Element x y z (fractional)
O 0.071 0.941 0.880  0.21
Na 0.039 0.539 0.500  0.00
O 0.795 0.519 0.776  -0.02
O 0.269 0.493 0.724  -0.02
Na 0.040 0.960 0.500  0.00
Na 0.210 0.790 0.000  0.00
O 0.179 0.809 0.620  0.21
V 0.625 0.375 0.750  1.92
P 0.250 0.750 0.500  -0.02
C 0.764 0.579 0.164  0.01
O 0.191 0.821 0.380  0.21
C 0.486 0.171 0.336  0.01
C 0.400 0.585 0.164  0.01
O 0.533 0.237 0.976  -0.01
O 0.769 0.545 0.276  -0.02
O 0.261 0.557 0.024  -0.01
Na 0.460 0.540 0.500  0.00
O 0.059 0.929 0.120  0.21
O 0.526 0.570 0.802  0.00
P 0.000 0.000 0.000  -0.02
O 0.455 0.231 0.724  -0.02
O 0.482 0.025 0.302  0.00
O 0.743 0.019 0.224  -0.02
C 0.415 0.600 0.836  0.01
Na 0.211 0.211 0.000  0.00
C 0.835 0.150 0.664  0.01
O 0.717 0.513 0.524  -0.01
C 0.829 0.514 0.664  0.01
O 0.763 0.467 0.024  -0.01
O 0.820 0.276 0.302  0.00
Na 0.789 0.789 0.000  0.00
O 0.487 0.283 0.476  -0.01
C 0.421 0.236 0.836  0.01
O 0.430 0.474 0.198  0.00
Na 0.461 0.961 0.500  0.00
O 0.443 0.739 0.976  -0.01
O 0.989 0.193 0.476  -0.01
O 0.724 0.180 0.698  0.00
Na 0.790 0.210 0.000  0.00
O 0.981 0.257 0.776  -0.02
O 0.060 0.191 0.120  0.21
V 0.625 0.375 0.250  1.92
O 0.275 0.232 0.802  0.00
C 0.850 0.165 0.336  0.01
O 0.441 0.810 0.620  0.21
O 0.481 0.205 0.224  -0.02
V 0.125 0.375 0.750  1.92
O 0.807 0.011 0.524  -0.01
V 0.625 0.875 0.250  1.92
O 0.190 0.559 0.380  0.21
O 0.768 0.725 0.198  0.00
O 0.507 0.731 0.276  -0.02
O 0.809 0.940 0.880  0.21
O 0.975 0.518 0.698  0.00



Entry 5:
# NaVPCO7

A geometry-optimized NaVPCO7 structure (PBE+U, Alexandria via LeMat-Bulk).

Calculated values
Its distance to the lowest polymorph of the same formula is 5 meV per atom. The value obtained for the density of states at the Fermi level is 0.000 states/eV/cell. As for the space-group type: P2_1, No. 4.

a b c (Å): 5.328 6.307 9.334
angles (deg): 90.00 90.72 90.00
Each line ends with the local moment (μB).
Element x y z (fractional)
O 0.986 0.236 0.695  -0.03
O 0.711 0.951 0.846  -0.01
O 0.062 0.761 0.981  -0.01
P 0.780 0.761 0.942  0.01
C 0.815 0.244 0.588  0.01
O 0.585 0.245 0.646  -0.03
Na 0.295 0.968 0.712  0.00
V 0.725 0.269 0.840  1.06
O 0.275 0.061 0.154  -0.04
O 0.014 0.736 0.305  -0.03
V 0.275 0.769 0.160  1.06
O 0.938 0.261 0.019  -0.01
O 0.138 0.752 0.540  -0.02
O 0.289 0.451 0.154  -0.01
O 0.725 0.561 0.846  -0.04
O 0.618 0.749 0.076  -0.01
O 0.415 0.745 0.354  -0.03
P 0.220 0.261 0.058  0.01
Na 0.705 0.468 0.288  0.00
C 0.185 0.744 0.412  0.01
O 0.382 0.249 0.924  -0.01
O 0.862 0.252 0.460  -0.02



no.,calculated total energy (eV for the cell shown)
1,-158.31
2,-173.15
3,-172.51
4,-375.97
5,-158.21